[1]
An optimized crystal structure of SrSiS3. Source: Alexandria via LeMat-Bulk, functional PBE.

Cell: 4.8084 7.2243 7.2273 Å, 75.30 86.78 86.76°
With the nearest neighbours (Å) after each atom.
Element x y z (fractional)
1 Si 0.7424 0.2834 0.0597  4 S 2.09-2.19
2 Si 0.7423 0.6209 0.7225  4 S 2.09-2.19
3 S 0.9675 0.5493 0.9884  2 Si 2.19
4 S 0.5171 0.3551 0.7939  2 Si 2.19
5 S 0.9761 0.0320 0.0554  1 Si 2.09
6 S 0.5088 0.2875 0.3111  1 Si 2.09
7 S 0.5086 0.8724 0.7268  1 Si 2.09
8 S 0.9759 0.6168 0.4712  1 Si 2.09
9 Sr 0.4972 0.7485 0.1875  7 S 3.09-3.22
10 Sr 0.9875 0.1558 0.5947  7 S 3.09-3.22

Values from the calculation:
energy	-5.1576	eV per atom
formation energy from raw total energies	-1.260	eV per atom
excess energy over the best structure of this formula in the dataset	0	meV/atom
magnetic moment	0.00	μB per formula unit
calculated volume	24.22	A^3/atom
space group	C2/m (12)

[2]
An optimized crystal structure of PuU2Os. Source: Alexandria via LeMat-Bulk, functional PBE.

Cell: 3.3980 3.3980 6.6990 Å, 90.00 90.00 90.00°
With the nearest neighbours (Å) after each atom.
Element x y z (fractional)
1 Os 0.5000 0.5000 0.0000  8 U 2.93
2 U 0.0000 0.0000 0.2512  4 Pu 2.92, 4 Os 2.93
3 U 0.0000 0.0000 0.7488  4 Pu 2.92, 4 Os 2.93
4 Pu 0.5000 0.5000 0.5000  8 U 2.92

Values from the calculation:
energy	-11.8762	eV per atom
E_form	0.633	eV/f.u.
excess energy over the best structure of this formula in the dataset	100	meV/atom
magnetic moment	1.92	μB per formula unit
calculated volume	19.34	A^3/atom
space group	P4/mmm (123)

[3]
An optimized crystal structure of FeWBr4. Source: Alexandria via LeMat-Bulk, functional PBE.

Cell: 6.1487 6.1487 6.1487 Å, 60.00 60.00 60.00°
With the nearest neighbours (Å) after each atom.
Element x y z (fractional)
1 Br 0.3749 0.3749 0.8754  6 Br 3.07-3.08
2 Br 0.3749 0.8754 0.3749  6 Br 3.07-3.08
3 Br 0.8754 0.3749 0.3749  6 Br 3.07-3.08
4 Br 0.3749 0.3749 0.3749  6 Br 3.07-3.08
5 Fe 0.7500 0.7500 0.7500  12 Br 3.61, 4 W 3.77
6 W 0.0000 0.0000 0.0000  12 Br 3.60, 4 Fe 3.77

Values from the calculation:
energy	-2.8047	eV per atom
formation energy from raw total energies	1.880	eV per atom
magnetic moment	8.05	μB per formula unit
calculated volume	27.40	A^3/atom
space group	F-43m (216)

[4]
An optimized crystal structure of InAg3P. Source: Alexandria via LeMat-Bulk, functional PBE.

Cell: 5.1290 5.1290 5.1290 Å, 90.00 90.00 90.00°
With the nearest neighbours (Å) after each atom.
Element x y z (fractional)
1 In 0.0000 0.0000 0.0000  6 Ag 2.56
2 P 0.5000 0.5000 0.5000  12 Ag 3.63
3 Ag 0.0000 0.0000 0.5000  2 In 2.56
4 Ag 0.5000 0.0000 0.0000  2 In 2.56
5 Ag 0.0000 0.5000 0.0000  2 In 2.56

Values from the calculation:
energy	-2.2875	eV per atom
E_form	5.264	eV/f.u.
excess energy over the best structure of this formula in the dataset	844	meV/atom
magnetic moment	0.00	μB per formula unit
calculated volume	26.99	A^3/atom
space group	Pm-3m (221)

[5]
An optimized crystal structure of TbPr2In3. Source: Alexandria via LeMat-Bulk, functional PBE.

Cell: 3.8475 3.8475 11.6638 Å, 90.00 90.00 90.00°
With the nearest neighbours (Å) after each atom.
Element x y z (fractional)
1 In 0.0000 0.0000 0.3449  4 Tb 3.27, 4 Pr 3.39, 1 In 3.62
2 In 0.0000 0.0000 0.0000  8 Pr 3.38
3 In 0.0000 0.0000 0.6551  4 Tb 3.27, 4 Pr 3.39, 1 In 3.62
4 Pr 0.5000 0.5000 0.1719  8 In 3.38-3.39
5 Pr 0.5000 0.5000 0.8281  8 In 3.38-3.39
6 Tb 0.5000 0.5000 0.5000  8 In 3.27

Values from the calculation:
energy	-4.2239	eV per atom
E_form	-2.939	eV/f.u.
excess energy over the best structure of this formula in the dataset	0	meV/atom
magnetic moment	0.00	μB per formula unit
calculated volume	28.78	A^3/atom
space group	P4/mmm (123)

[6]
An optimized crystal structure of PS2BrN. Source: Alexandria via LeMat-Bulk, functional PBE.

Cell: 4.3883 4.3883 4.1562 Å, 90.00 90.00 90.00°
With the nearest neighbours (Å) after each atom.
Element x y z (fractional)
1 P 0.0000 0.0000 0.5000  2 N 2.08
2 S 0.5000 0.0000 0.0000  2 N 2.19
3 S 0.0000 0.5000 0.0000  2 N 2.19
4 N 0.0000 0.0000 0.0000  2 P 2.08, 4 S 2.19
5 Br 0.5000 0.5000 0.5000  8 S 3.02, 4 P 3.10

Values from the calculation:
energy	-3.3435	eV per atom
formation energy from raw total energies	1.389	eV per atom
excess energy over the best structure of this formula in the dataset	507	meV/atom
magnetic moment	0.00	μB per formula unit
calculated volume	16.01	A^3/atom
space group	P4/mmm (123)

[7]
An optimized crystal structure of BaCrRe2. Source: Alexandria via LeMat-Bulk, functional PBE.

Cell: 4.8567 4.8567 6.4404 Å, 75.64 75.64 39.34°
With the nearest neighbours (Å) after each atom.
Element x y z (fractional)
1 Re 0.2851 0.2851 0.1090  2 Cr 2.38, 2 Re 2.54
2 Re 0.0053 0.0053 0.9999  2 Cr 2.45, 2 Re 2.54
3 Cr 0.7101 0.7101 0.8899  4 Re 2.38-2.45
4 Ba 0.4995 0.4995 0.5012  2 Ba 3.27, 7 Re 3.52-3.62, 3 Cr 3.53-3.54

Values from the calculation:
energy	-8.2822	eV per atom
E_form	3.313	eV/f.u.
excess energy over the best structure of this formula in the dataset	41	meV/atom
magnetic moment	0.69	μB per formula unit
calculated volume	23.22	A^3/atom
space group	Cm (8)

[8]
An optimized crystal structure of Pr2MgSi. Source: Alexandria via LeMat-Bulk, functional PBE.

Cell: 4.0931 4.0931 10.7303 Å, 79.00 79.00 60.00°
With the nearest neighbours (Å) after each atom.
Element x y z (fractional)
1 Pr 0.1134 0.1134 0.6598  3 Si 2.90
2 Pr 0.8866 0.8866 0.3402  3 Si 2.90
3 Si 0.5000 0.5000 0.5000  6 Pr 2.90
4 Mg 0.0000 0.0000 0.0000  2 Pr 3.56

Values from the calculation:
energy	-4.1205	eV per atom
formation energy from raw total energies	0.024	eV per atom
magnetic moment	0.00	μB per formula unit
calculated volume	37.97	A^3/atom
space group	R-3m (166)